# SmY3Sc, optimized geometry, DFT PBE
# theoretical density = 4.907 g/cm³
# distance to the lowest polymorph of the same formula = 30 meV/atom
# formation energy = 0.073 eV per atom
data_SmY3Sc
_chemical_formula_sum 'Sm8 Y24 Sc8'
_cell_length_a 19.6813
_cell_length_b 9.7500
_cell_length_c 6.5345
_cell_angle_alpha 90.00
_cell_angle_beta 94.11
_cell_angle_gamma 90.00
_space_group_name_H-M_alt 'C 1 2/c 1'
_space_group_IT_number 15
loop_
_space_group_symop_operation_xyz
'x,y,z'
'-x,-y,-z'
'-x,y,-z+1/2'
'x,-y,z+1/2'
'x+1/2,y+1/2,z'
'-x+1/2,-y+1/2,-z'
'-x+1/2,y+1/2,-z+1/2'
'x+1/2,-y+1/2,z+1/2'
loop_
_atom_site_label
_atom_site_fract_x
_atom_site_fract_y
_atom_site_fract_z
_atom_site_occupancy
Sm1 0.0000 0.1053 0.2500 1
Sm2 0.0000 0.2462 0.7500 1
Y1 0.0759 0.4437 0.4011 1
Y2 0.1490 0.1016 0.5957 1
Y3 0.1644 0.2544 0.0821 1
Sc1 0.2172 0.4321 0.6778 1

# Sm4Y2Sc, optimized geometry, DFT PBE
# theoretical density = 4.937 g/cm³
# distance to the lowest polymorph of the same formula = 927 meV/atom
# formation energy = 1.060 eV per atom
data_Sm4Y2Sc
_chemical_formula_sum 'Sm8 Y4 Sc2'
_cell_length_a 6.8753
_cell_length_b 6.8753
_cell_length_c 11.7283
_cell_angle_alpha 90.00
_cell_angle_beta 90.00
_cell_angle_gamma 90.00
_space_group_name_H-M_alt 'I 4/m m m'
_space_group_IT_number 139
_space_group_name_Hall '-I 4 2'
loop_
_atom_site_label
_atom_site_fract_x
_atom_site_fract_y
_atom_site_fract_z
_atom_site_occupancy
Sm1 0.0000 0.2929 0.0000 1
Y1 0.0000 0.5000 0.2500 1
Sc1 0.0000 0.0000 0.5000 1

# Sm6YSc8, optimized geometry, DFT PBE
# theoretical density = 5.175 g/cm³
# formation energy = 0.190 eV per atom
data_Sm6YSc8
_chemical_formula_sum 'Sm18 Y3 Sc24'
_cell_length_a 9.2692
_cell_length_b 9.2692
_cell_length_c 17.4731
_cell_angle_alpha 90.00
_cell_angle_beta 90.00
_cell_angle_gamma 120.00
_space_group_name_H-M_alt 'R -3'
_space_group_IT_number 148
_space_group_name_Hall '-R 3'
loop_
_atom_site_label
_atom_site_fract_x
_atom_site_fract_y
_atom_site_fract_z
_atom_site_occupancy
Sm1 0.0216 0.2370 0.4060 1
Y1 0.0000 0.0000 0.0000 1
Sc1 0.0000 0.0000 0.2273 1
Sc2 0.0517 0.2807 0.8997 1

# Sm3Y12Sc, optimized geometry, DFT PBE
# theoretical density = 5.064 g/cm³
# formation energy = 0.029 eV per atom
data_Sm3Y12Sc
_chemical_formula_sum 'Sm3 Y12 Sc1'
_cell_length_a 5.0441
_cell_length_b 5.0441
_cell_length_c 20.1434
_cell_angle_alpha 90.00
_cell_angle_beta 90.00
_cell_angle_gamma 90.00
_space_group_name_H-M_alt 'P 4/m m m'
_space_group_IT_number 123
_space_group_name_Hall '-P 4 2'
loop_
_atom_site_label
_atom_site_fract_x
_atom_site_fract_y
_atom_site_fract_z
_atom_site_occupancy
Sm1 0.0000 0.0000 0.0000 1
Sm2 0.0000 0.0000 0.2524 1
Y1 0.0000 0.5000 0.1268 1
Y2 0.0000 0.5000 0.3798 1
Y3 0.5000 0.5000 0.0000 1
Y4 0.5000 0.5000 0.2536 1
Y5 0.5000 0.5000 0.5000 1
Sc1 0.0000 0.0000 0.5000 1

# SmY3Sc2, optimized geometry, DFT PBE
# theoretical density = 4.381 g/cm³
# distance to the lowest polymorph of the same formula = 175 meV/atom
# formation energy = 0.294 eV per atom
data_SmY3Sc2
_chemical_formula_sum 'Sm4 Y12 Sc8'
_cell_length_a 14.4041
_cell_length_b 9.7509
_cell_length_c 5.4722
_cell_angle_alpha 90.00
_cell_angle_beta 90.00
_cell_angle_gamma 90.00
_space_group_name_H-M_alt 'C m c m'
_space_group_IT_number 63
_space_group_name_Hall '-C 2c 2'
loop_
_atom_site_label
_atom_site_fract_x
_atom_site_fract_y
_atom_site_fract_z
_atom_site_occupancy
Sm1 0.0000 0.2247 0.2500 1
Y1 0.0000 0.4033 0.7500 1
Y2 0.2410 0.3696 0.7500 1
Sc1 0.1059 0.0926 0.7500 1

# Sm3Y5Sc, optimized geometry, DFT PBE
# theoretical density = 5.403 g/cm³
# formation energy = 0.267 eV per atom
data_Sm3Y5Sc
_chemical_formula_sum 'Sm12 Y20 Sc4'
_cell_length_a 8.6640
_cell_length_b 8.6640
_cell_length_c 15.4024
_cell_angle_alpha 90.00
_cell_angle_beta 90.00
_cell_angle_gamma 90.00
_space_group_name_H-M_alt 'I 4/m c m'
_space_group_IT_number 140
_space_group_name_Hall '-I 4 2c'
loop_
_atom_site_label
_atom_site_fract_x
_atom_site_fract_y
_atom_site_fract_z
_atom_site_occupancy
Sm1 0.0000 0.0000 0.2500 1
Sm2 0.1181 0.3819 0.0000 1
Y1 0.0000 0.0000 0.0000 1
Y2 0.2048 0.2952 0.3604 1
Sc1 0.0000 0.5000 0.2500 1

# Sm3Y4Sc, optimized geometry, DFT PBE
# theoretical density = 5.460 g/cm³
# distance to the lowest polymorph of the same formula = 110 meV/atom
# formation energy = 0.134 eV per atom
data_Sm3Y4Sc
_chemical_formula_sum 'Sm6 Y8 Sc2'
_cell_length_a 3.4821
_cell_length_b 11.5949
_cell_length_c 12.8310
_cell_angle_alpha 90.00
_cell_angle_beta 90.00
_cell_angle_gamma 90.00
_space_group_name_H-M_alt 'I m m m'
_space_group_IT_number 71
_space_group_name_Hall '-I 2 2'
loop_
_atom_site_label
_atom_site_fract_x
_atom_site_fract_y
_atom_site_fract_z
_atom_site_occupancy
Sm1 0.0000 0.0000 0.0000 1
Sm2 0.0000 0.5000 0.2396 1
Y1 0.0000 0.2431 0.3670 1
Sc1 0.0000 0.0000 0.5000 1

# Sm2Y3Sc, optimized geometry, DFT PBE
# theoretical density = 5.308 g/cm³
# distance to the lowest polymorph of the same formula = 106 meV/atom
# formation energy = 0.146 eV per atom
data_Sm2Y3Sc
_chemical_formula_sum 'Sm8 Y12 Sc4'
_cell_length_a 17.6036
_cell_length_b 3.4609
_cell_length_c 14.1314
_cell_angle_alpha 90.00
_cell_angle_beta 117.12
_cell_angle_gamma 90.00
_space_group_name_H-M_alt 'C 1 2/m 1'
_space_group_IT_number 12
loop_
_space_group_symop_operation_xyz
'x,y,z'
'-x,-y,-z'
'-x,y,-z'
'x,-y,z'
'x+1/2,y+1/2,z'
'-x+1/2,-y+1/2,-z'
'-x+1/2,y+1/2,-z'
'x+1/2,-y+1/2,z'
loop_
_atom_site_label
_atom_site_fract_x
_atom_site_fract_y
_atom_site_fract_z
_atom_site_occupancy
Sm1 0.1542 0.0000 0.4703 1
Sm2 0.1798 0.5000 0.8777 1
Y1 0.0360 0.5000 0.2167 1
Y2 0.0993 0.0000 0.0268 1
Y3 0.2400 0.0000 0.2938 1
Sc1 0.0634 0.0000 0.6409 1

# SmY4Sc4, optimized geometry, DFT PBE
# theoretical density = 4.398 g/cm³
# formation energy = 0.061 eV per atom
data_SmY4Sc4
_chemical_formula_sum 'Sm2 Y8 Sc8'
_cell_length_a 10.3436
_cell_length_b 10.3436
_cell_length_c 4.8407
_cell_angle_alpha 90.00
_cell_angle_beta 90.00
_cell_angle_gamma 90.00
_space_group_name_H-M_alt 'I 4/m m m'
_space_group_IT_number 139
_space_group_name_Hall '-I 4 2'
loop_
_atom_site_label
_atom_site_fract_x
_atom_site_fract_y
_atom_site_fract_z
_atom_site_occupancy
Sm1 0.0000 0.0000 0.0000 1
Y1 0.0000 0.3276 0.0000 1
Sc1 0.1670 0.1670 0.5000 1

# Sm6Y2Sc, optimized geometry, DFT PBE
# theoretical density = 6.231 g/cm³
# distance to the lowest polymorph of the same formula = 74 meV/atom
# formation energy = 0.193 eV per atom
data_Sm6Y2Sc
_chemical_formula_sum 'Sm12 Y4 Sc2'
_cell_length_a 17.5017
_cell_length_b 10.1223
_cell_length_c 3.4500
_cell_angle_alpha 90.00
_cell_angle_beta 101.17
_cell_angle_gamma 90.00
_space_group_name_H-M_alt 'C 1 2/m 1'
_space_group_IT_number 12
loop_
_space_group_symop_operation_xyz
'x,y,z'
'-x,-y,-z'
'-x,y,-z'
'x,-y,z'
'x+1/2,y+1/2,z'
'-x+1/2,-y+1/2,-z'
'-x+1/2,y+1/2,-z'
'x+1/2,-y+1/2,z'
loop_
_atom_site_label
_atom_site_fract_x
_atom_site_fract_y
_atom_site_fract_z
_atom_site_occupancy
Sm1 0.0000 0.2008 0.0000 1
Sm2 0.1661 0.3159 0.6654 1
Y1 0.1636 0.0000 0.1622 1
Sc1 0.0000 0.5000 0.5000 1

# Sm7Y16Sc6, optimized geometry, DFT PBE
# theoretical density = 4.987 g/cm³
# formation energy = 0.203 eV per atom
data_Sm7Y16Sc6
_chemical_formula_sum 'Sm28 Y64 Sc24'
_cell_length_a 15.4048
_cell_length_b 15.4048
_cell_length_c 15.4048
_cell_angle_alpha 90.00
_cell_angle_beta 90.00
_cell_angle_gamma 90.00
_space_group_name_H-M_alt 'F m -3 m'
_space_group_IT_number 225
_space_group_name_Hall '-F 4 2 3'
loop_
_atom_site_label
_atom_site_fract_x
_atom_site_fract_y
_atom_site_fract_z
_atom_site_occupancy
Sm1 0.0000 0.0000 0.0000 1
Sm2 0.0000 0.2500 0.2500 1
Y1 0.1118 0.1118 0.3882 1
Y2 0.1477 0.1477 0.1477 1
Sc1 0.0000 0.0000 0.2258 1

# Sm2Y8Sc, optimized geometry, DFT PBE
# theoretical density = 4.933 g/cm³
# distance to the lowest polymorph of the same formula = 0 meV/atom
# formation energy = 0.170 eV per atom
data_Sm2Y8Sc
_chemical_formula_sum 'Sm4 Y16 Sc2'
_cell_length_a 8.9316
_cell_length_b 15.8973
_cell_length_c 5.8548
_cell_angle_alpha 90.00
_cell_angle_beta 121.13
_cell_angle_gamma 90.00
_space_group_name_H-M_alt 'C 1 2/m 1'
_space_group_IT_number 12
loop_
_space_group_symop_operation_xyz
'x,y,z'
'-x,-y,-z'
'-x,y,-z'
'x,-y,z'
'x+1/2,y+1/2,z'
'-x+1/2,-y+1/2,-z'
'-x+1/2,y+1/2,-z'
'x+1/2,-y+1/2,z'
loop_
_atom_site_label
_atom_site_fract_x
_atom_site_fract_y
_atom_site_fract_z
_atom_site_occupancy
Sm1 0.0000 0.1945 0.0000 1
Y1 0.0000 0.2953 0.5000 1
Y2 0.0891 0.0000 0.3004 1
Y3 0.2131 0.3869 0.1618 1
Sc1 0.0000 0.5000 0.5000 1